No. 1
A plane-wave DFT calculation with PBE was carried out for an optimized crystal structure of LaP2Br.

Unit cell a=3.8943 b=3.6365 c=8.1667 alpha=90.00 beta=103.78 gamma=90.00
Last column: nearest neighbours and their distance in Å.
Fractional coordinates of all 4 atoms:
La  0.0000  0.0000  0.0000  6 P 3.00-3.28, 4 Br 3.28-3.29
P  0.3321  0.0000  0.6671  2 P 2.21
P  0.4123  0.5000  0.8251  2 P 2.21
Br  0.6214  0.5000  0.2423  4 La 3.28-3.29, 1 P 3.31, 2 Br 3.64

Values from the calculation:
- crystal system = monoclinic
- E above lowest polymorph (meV/atom) = 51
- uncorrected formation energy (meV per atom) = -923

***

No. 2
A plane-wave DFT calculation with PBE was carried out for an optimized crystal structure of BaCaIr2.

Unit cell a=6.0798 b=6.0798 c=5.4420 alpha=108.06 beta=108.06 gamma=30.11
Last column: nearest neighbours and their distance in Å.
Fractional coordinates of all 4 atoms:
Ba  0.0000  0.0000  0.0000  2 Ba 3.16, 7 Ir 3.17-3.34, 1 Ca 3.43
Ca  0.1980  0.1980  0.6206  7 Ir 3.13-3.36, 2 Ca 3.16, 1 Ba 3.43
Ir  0.4310  0.4310  0.4589  2 Ir 2.61
Ir  0.7649  0.7649  0.1680  2 Ir 2.61

Values from the calculation:
- crystal system = monoclinic
- energy of formation (eV per atom) = 0.12
- E above lowest polymorph (meV/atom) = 375

***

No. 3
A plane-wave DFT calculation with PBE was carried out for an optimized crystal structure of CsNa6Pd6.

Unit cell a=7.6025 b=7.6025 c=7.6025 alpha=136.35 beta=99.24 gamma=96.65
Last column: nearest neighbours and their distance in Å.
Fractional coordinates of all 13 atoms:
Cs  0.0000  0.0000  0.0000  8 Na 3.34-3.43
Na  0.1867  0.5000  0.6867  6 Pd 2.96-3.08, 2 Na 3.24
Na  0.3303  0.3303  0.0000  6 Pd 2.95-2.96
Na  0.3480  0.0000  0.3480  6 Pd 2.99-3.05, 3 Na 2.99-3.24
Na  0.6520  0.0000  0.6520  6 Pd 2.99-3.05, 3 Na 2.99-3.24
Na  0.6697  0.6697  0.0000  6 Pd 2.95-2.96
Na  0.8133  0.5000  0.3133  6 Pd 2.96-3.08, 2 Na 3.24
Pd  0.0000  0.0000  0.5000  4 Pd 2.83-2.84, 6 Na 2.95-3.05
Pd  0.0000  0.5000  0.0000  4 Pd 2.83-2.84, 6 Na 2.95-3.05
Pd  0.2443  0.7443  0.5000  4 Pd 2.84, 6 Na 2.96-3.08
Pd  0.5000  0.0000  0.0000  4 Pd 2.83-2.84, 6 Na 2.95-3.05
Pd  0.5000  0.5000  0.5000  4 Pd 2.83-2.84, 6 Na 2.95-3.05
Pd  0.7557  0.2557  0.5000  4 Pd 2.84, 6 Na 2.96-3.08

Values from the calculation:
- crystal system = orthorhombic
- energy of formation (eV per atom) = -0.10

***

No. 4
A plane-wave DFT calculation with PBE was carried out for an optimized crystal structure of MgZnSi.

Unit cell a=3.1424 b=3.1424 c=6.1878 alpha=90.00 beta=90.00 gamma=120.00
Last column: nearest neighbours and their distance in Å.
Fractional coordinates of all 3 atoms:
Mg  0.0000  0.0000  0.0000  3 Si 2.81, 3 Zn 2.83, 6 Mg 3.14
Zn  0.3333  0.6667  0.6484  3 Si 2.60, 3 Mg 2.83
Si  0.6667  0.3333  0.3467  3 Zn 2.60, 3 Mg 2.81

Values from the calculation:
- crystal system = trigonal
- uncorrected formation energy (meV per atom) = 140

***

No. 5
A plane-wave DFT calculation with PBE was carried out for an optimized crystal structure of Tl3FeAg2Cl9.

Unit cell a=7.2352 b=7.2352 c=8.7981 alpha=90.00 beta=90.00 gamma=120.00
Last column: nearest neighbours and their distance in Å.
Fractional coordinates of all 15 atoms:
Tl  0.0000  0.0000  0.0000  12 Cl 3.59-3.62
Tl  0.3333  0.6667  0.7084  9 Cl 3.31-3.65
Tl  0.6667  0.3333  0.2916  9 Cl 3.31-3.65
Fe  0.0000  0.0000  0.5000  6 Cl 2.39
Ag  0.3333  0.6667  0.1773  6 Cl 2.61-2.66
Ag  0.6667  0.3333  0.8227  6 Cl 2.61-2.66
Cl  0.0000  0.5000  0.0000  2 Ag 2.61
Cl  0.1554  0.3109  0.3431  1 Fe 2.39, 1 Ag 2.66
Cl  0.1554  0.8446  0.3431  1 Fe 2.39, 1 Ag 2.66
Cl  0.3109  0.1554  0.6569  1 Fe 2.39, 1 Ag 2.66
Cl  0.5000  0.0000  0.0000  2 Ag 2.61
Cl  0.5000  0.5000  0.0000  2 Ag 2.61
Cl  0.6891  0.8446  0.3431  1 Fe 2.39, 1 Ag 2.66
Cl  0.8446  0.1554  0.6569  1 Fe 2.39, 1 Ag 2.66
Cl  0.8446  0.6891  0.6569  1 Fe 2.39, 1 Ag 2.66

Values from the calculation:
- crystal system = trigonal
- uncorrected formation energy (meV per atom) = -741

***

No. 6
A plane-wave DFT calculation with PBE was carried out for an optimized crystal structure of PmTh2In.

Unit cell a=4.8847 b=4.8847 c=5.0778 alpha=90.00 beta=90.00 gamma=90.00
Last column: nearest neighbours and their distance in Å.
Fractional coordinates of all 4 atoms:
Pm  0.0000  0.0000  0.0000  4 In 3.45, 8 Th 3.52
Th  0.0000  0.5000  0.5000  4 Th 3.45, 4 In 3.52, 4 Pm 3.52
Th  0.5000  0.0000  0.5000  4 Th 3.45, 4 In 3.52, 4 Pm 3.52
In  0.5000  0.5000  0.0000  4 Pm 3.45, 8 Th 3.52

Values from the calculation:
- crystal system = tetragonal
- energy of formation (eV per atom) = -0.19
- E above lowest polymorph (meV/atom) = 0

***

No. 7
A plane-wave DFT calculation with PBE was carried out for an optimized crystal structure of BaBeAs3.

Unit cell a=4.8197 b=4.8197 c=4.8197 alpha=90.00 beta=90.00 gamma=90.00
Last column: nearest neighbours and their distance in Å.
Fractional coordinates of all 5 atoms:
Ba  0.0000  0.0000  0.0000  12 As 3.41
Be  0.5000  0.5000  0.5000  6 As 2.41
As  0.0000  0.5000  0.5000  2 Be 2.41
As  0.5000  0.0000  0.5000  2 Be 2.41
As  0.5000  0.5000  0.0000  2 Be 2.41

Values from the calculation:
- crystal system = cubic
- energy of formation (eV per atom) = -0.17
- E above lowest polymorph (meV/atom) = 0

***

No. 8
A plane-wave DFT calculation with PBE was carried out for an optimized crystal structure of Ni3PS.

Unit cell a=4.1543 b=4.1543 c=4.1543 alpha=90.00 beta=90.00 gamma=90.00
Last column: nearest neighbours and their distance in Å.
Fractional coordinates of all 5 atoms:
Ni  0.0000  0.0000  0.5000  2 S 2.08
Ni  0.0000  0.5000  0.0000  2 S 2.08
Ni  0.5000  0.0000  0.0000  2 S 2.08
P  0.5000  0.5000  0.5000  12 Ni 2.94
S  0.0000  0.0000  0.0000  6 Ni 2.08

Values from the calculation:
- crystal system = cubic
- E above lowest polymorph (meV/atom) = 703
- uncorrected formation energy (meV per atom) = 301

***

No. 9
A plane-wave DFT calculation with PBE was carried out for an optimized crystal structure of Nd2ZnOs.

Unit cell a=9.9582 b=9.9582 c=9.9582 alpha=23.95 beta=23.95 gamma=23.95
Last column: nearest neighbours and their distance in Å.
Fractional coordinates of all 4 atoms:
Nd  0.1148  0.1148  0.1148  3 Os 2.82
Nd  0.8852  0.8852  0.8852  3 Os 2.82
Zn  0.0000  0.0000  0.0000  2 Nd 3.33
Os  0.5000  0.5000  0.5000  6 Nd 2.82

Values from the calculation:
- crystal system = trigonal
- energy of formation (eV per atom) = 0.32

***

No. 10
A plane-wave DFT calculation with PBE was carried out for an optimized crystal structure of EuErIrPd.

Unit cell a=4.9331 b=4.9331 c=4.9331 alpha=60.00 beta=60.00 gamma=60.00
Last column: nearest neighbours and their distance in Å.
Fractional coordinates of all 4 atoms:
Eu  0.0000  0.0000  0.0000  4 Ir 3.02, 4 Pd 3.02
Er  0.5000  0.5000  0.5000  4 Ir 3.02, 4 Pd 3.02
Ir  0.7500  0.7500  0.7500  4 Er 3.02, 4 Eu 3.02
Pd  0.2500  0.2500  0.2500  4 Er 3.02, 4 Eu 3.02

Values from the calculation:
- crystal system = cubic
- energy of formation (eV per atom) = -0.68

***

No. 11
A plane-wave DFT calculation with PBE was carried out for an optimized crystal structure of ZnCo2Mo.

Unit cell a=2.6312 b=4.0304 c=4.9087 alpha=90.00 beta=104.13 gamma=90.00
Last column: nearest neighbours and their distance in Å.
Fractional coordinates of all 4 atoms:
Zn  0.0000  0.0000  0.0000  7 Co 2.53-2.59, 2 Zn 2.63, 2 Mo 2.81
Co  0.6012  0.5000  0.1796  2 Mo 2.41-2.68, 4 Co 2.44-2.63, 4 Zn 2.53-2.58
Co  0.7168  0.0000  0.4677  4 Co 2.44-2.63, 3 Zn 2.54-2.59, 4 Mo 2.60
Mo  0.3115  0.5000  0.6754  6 Co 2.41-2.68, 2 Mo 2.63

Values from the calculation:
- crystal system = monoclinic
- energy of formation (eV per atom) = 0.12

***

No. 12
A plane-wave DFT calculation with PBE was carried out for an optimized crystal structure of Al2V5W.

Unit cell a=6.6305 b=6.6305 c=6.6305 alpha=140.99 beta=140.99 gamma=56.35
Last column: nearest neighbours and their distance in Å.
Fractional coordinates of all 8 atoms:
Al  0.2493  0.2493  0.0000  9 V 2.69-2.91, 1 W 2.93
Al  0.7507  0.7507  0.0000  9 V 2.69-2.91, 1 W 2.93
V  0.0000  0.0000  0.0000  8 V 2.61, 2 Al 2.91
V  0.1181  0.6181  0.5000  2 W 2.61, 3 V 2.61-2.76, 4 Al 2.69-2.70
V  0.3819  0.8819  0.5000  2 W 2.61, 3 V 2.61-2.76, 4 Al 2.69-2.70
V  0.6181  0.1181  0.5000  2 W 2.61, 3 V 2.61-2.76, 4 Al 2.69-2.70
V  0.8819  0.3819  0.5000  2 W 2.61, 3 V 2.61-2.76, 4 Al 2.69-2.70
W  0.5000  0.5000  0.0000  8 V 2.61

Values from the calculation:
- crystal system = tetragonal
- energy of formation (eV per atom) = -0.15
- E above lowest polymorph (meV/atom) = 0

***

No. 13
A plane-wave DFT calculation with PBE was carried out for an optimized crystal structure of Tc2AgMo.

Unit cell a=2.8160 b=3.9540 c=5.6823 alpha=90.00 beta=90.00 gamma=90.00
Last column: nearest neighbours and their distance in Å.
Fractional coordinates of all 4 atoms:
Tc  0.0000  0.0000  0.2203  1 Tc 2.50, 4 Mo 2.73
Tc  0.0000  0.0000  0.7797  1 Tc 2.50, 4 Mo 2.73
Ag  0.5000  0.5000  0.5000  2 Ag 2.82, 2 Mo 2.84, 8 Tc 2.90
Mo  0.5000  0.5000  0.0000  8 Tc 2.73, 2 Mo 2.82, 2 Ag 2.84

Values from the calculation:
- crystal system = orthorhombic
- energy of formation (eV per atom) = 0.39
- E above lowest polymorph (meV/atom) = 115

***

No. 14
A plane-wave DFT calculation with PBE was carried out for an optimized crystal structure of LiMg6Ag3.

Unit cell a=8.1844 b=4.7991 c=10.9952 alpha=90.00 beta=106.12 gamma=90.00
Last column: nearest neighbours and their distance in Å.
Fractional coordinates of all 20 atoms:
Li  0.0313  0.2500  0.2963  1 Ag 2.94, 6 Mg 2.97-3.26
Li  0.9687  0.7500  0.7037  1 Ag 2.94, 6 Mg 2.97-3.26
Mg  0.0935  0.7500  0.9957  4 Ag 2.71-2.97, 4 Mg 2.86-3.04
Mg  0.1247  0.2500  0.5868  3 Ag 2.83-2.84, 2 Mg 3.01-3.10, 3 Li 3.07-3.15
Mg  0.2091  0.2500  0.8717  2 Ag 2.78-2.79, 3 Mg 3.01-3.04
Mg  0.3230  0.7500  0.2680  4 Ag 2.79-2.86, 3 Mg 3.01-3.06
Mg  0.3819  0.7500  0.7662  3 Ag 2.82-2.97
Mg  0.3972  0.2500  0.4392  4 Ag 2.89-3.23, 1 Li 2.97, 5 Mg 3.01-3.10
Mg  0.6028  0.7500  0.5608  4 Ag 2.89-3.23, 1 Li 2.97, 5 Mg 3.01-3.10
Mg  0.6181  0.2500  0.2338  3 Ag 2.82-2.97
Mg  0.6770  0.2500  0.7320  4 Ag 2.79-2.86, 3 Mg 3.01-3.06
Mg  0.7909  0.7500  0.1283  2 Ag 2.78-2.79, 3 Mg 3.01-3.04
Mg  0.8753  0.7500  0.4132  3 Ag 2.83-2.84, 2 Mg 3.01-3.10, 3 Li 3.07-3.15
Mg  0.9065  0.2500  0.0043  4 Ag 2.71-2.97, 4 Mg 2.86-3.04
Ag  0.2353  0.7500  0.4959  8 Mg 2.79-2.89
Ag  0.2617  0.2500  0.1338  7 Mg 2.79-2.97, 1 Li 2.94, 2 Ag 3.09
Ag  0.4373  0.7500  0.0444  4 Mg 2.71-2.97, 2 Ag 2.88
Ag  0.5627  0.2500  0.9556  4 Mg 2.71-2.97, 2 Ag 2.88
Ag  0.7383  0.7500  0.8662  7 Mg 2.79-2.97, 1 Li 2.94, 2 Ag 3.09
Ag  0.7647  0.2500  0.5041  8 Mg 2.79-2.89

Values from the calculation:
- crystal system = monoclinic
- energy of formation (eV per atom) = -0.11

***

No. 15
A plane-wave DFT calculation with PBE was carried out for an optimized crystal structure of SrAgH3.

Unit cell a=3.9695 b=3.9695 c=3.9695 alpha=90.00 beta=90.00 gamma=90.00
Last column: nearest neighbours and their distance in Å.
Fractional coordinates of all 5 atoms:
Sr  0.0000  0.0000  0.0000  12 H 2.81
Ag  0.5000  0.5000  0.5000  6 H 1.98
H  0.0000  0.5000  0.5000  2 Ag 1.98
H  0.5000  0.0000  0.5000  2 Ag 1.98
H  0.5000  0.5000  0.0000  2 Ag 1.98

Values from the calculation:
- crystal system = cubic
- E above lowest polymorph (meV/atom) = 0

***

No. 16
A plane-wave DFT calculation with PBE was carried out for an optimized crystal structure of Ta2SiAs2.

Unit cell a=2.7390 b=2.7390 c=13.4835 alpha=90.00 beta=90.00 gamma=90.00
Last column: nearest neighbours and their distance in Å.
Fractional coordinates of all 5 atoms:
Ta  0.0000  0.0000  0.1877  1 Si 2.53, 1 As 2.64, 4 Ta 2.74
Ta  0.0000  0.0000  0.8123  1 Si 2.53, 1 As 2.64, 4 Ta 2.74
Si  0.0000  0.0000  0.0000  2 Ta 2.53, 4 Si 2.74
As  0.0000  0.0000  0.3838  1 Ta 2.64, 4 As 2.74
As  0.0000  0.0000  0.6162  1 Ta 2.64, 4 As 2.74

Values from the calculation:
- crystal system = tetragonal
- uncorrected formation energy (meV per atom) = 552

***

No. 17
A plane-wave DFT calculation with PBE was carried out for an optimized crystal structure of LiAgH2F8.

Unit cell a=4.8016 b=4.9436 c=6.2532 alpha=88.19 beta=88.47 gamma=87.03
Last column: nearest neighbours and their distance in Å.
Fractional coordinates of all 12 atoms:
Li  0.0000  0.0000  0.0000  6 F 2.01-2.14
Ag  0.0000  0.0000  0.5000  6 F 1.94
H  0.2959  0.3257  0.7933  1 F 0.96
H  0.7041  0.6743  0.2067  1 F 0.96
F  0.1894  0.7986  0.7303  1 Ag 1.94, 1 Li 2.14
F  0.2271  0.8460  0.2675  1 Ag 1.94, 1 Li 2.12
F  0.2551  0.2888  0.5294  1 H 1.68
F  0.2717  0.2910  0.9449  1 H 0.96
F  0.7283  0.7090  0.0551  1 H 0.96
F  0.7449  0.7112  0.4706  1 H 1.68
F  0.7729  0.1540  0.7325  1 Ag 1.94, 1 Li 2.12
F  0.8106  0.2014  0.2697  1 Ag 1.94, 1 Li 2.14

Values from the calculation:
- crystal system = triclinic

***

No. 18
A plane-wave DFT calculation with PBE was carried out for an optimized crystal structure of Sr8SnPt2.

Unit cell a=8.6696 b=8.6696 c=6.0610 alpha=97.41 beta=97.41 gamma=111.37
Last column: nearest neighbours and their distance in Å.
Fractional coordinates of all 11 atoms:
Sr  0.0000  0.0000  0.0000  2 Pt 3.29, 1 Sn 3.61
Sr  0.0480  0.3158  0.6214  2 Pt 3.17-3.22
Sr  0.1325  0.6206  0.2035  2 Pt 3.19, 1 Sn 3.50
Sr  0.3158  0.0480  0.6214  2 Pt 3.17-3.22
Sr  0.4373  0.7051  0.7855  2 Pt 3.17-3.22
Sr  0.6206  0.1325  0.2035  2 Pt 3.19, 1 Sn 3.50
Sr  0.7051  0.4373  0.7855  2 Pt 3.17-3.22
Sr  0.7531  0.7531  0.4071  2 Pt 3.29, 1 Sn 3.60
Sn  0.3766  0.3766  0.2045  4 Sr 3.50-3.61
Pt  0.0626  0.6904  0.7035  8 Sr 3.17-3.29
Pt  0.6904  0.0626  0.7035  8 Sr 3.17-3.29

Values from the calculation:
- crystal system = monoclinic
- energy of formation (eV per atom) = -0.47

***

No. 19
A plane-wave DFT calculation with PBE was carried out for an optimized crystal structure of NiPb2Br.

Unit cell a=8.0901 b=8.0901 c=8.0901 alpha=133.65 beta=133.65 gamma=67.64
Last column: nearest neighbours and their distance in Å.
Fractional coordinates of all 8 atoms:
Ni  0.0000  0.0000  0.0000  4 Pb 2.52
Ni  0.7500  0.2500  0.5000  4 Pb 2.52
Pb  0.0295  0.6250  0.9045  2 Ni 2.52
Pb  0.3750  0.2795  0.4045  2 Ni 2.52
Pb  0.7205  0.1250  0.0955  2 Ni 2.52
Pb  0.8750  0.9705  0.5955  2 Ni 2.52
Br  0.2500  0.7500  0.5000  4 Pb 3.19
Br  0.5000  0.5000  0.0000  4 Pb 3.19

Values from the calculation:
- crystal system = tetragonal
- E above lowest polymorph (meV/atom) = 160
- uncorrected formation energy (meV per atom) = 68

***

No. 20
A plane-wave DFT calculation with PBE was carried out for an optimized crystal structure of Li2ZrAl.

Unit cell a=2.7740 b=4.4619 c=5.8340 alpha=90.00 beta=90.00 gamma=90.00
Last column: nearest neighbours and their distance in Å.
Fractional coordinates of all 4 atoms:
Li  0.0000  0.0000  0.2216  3 Li 2.59-2.77
Li  0.0000  0.0000  0.7784  3 Li 2.59-2.77
Zr  0.5000  0.5000  0.5000  2 Zr 2.77, 2 Al 2.92, 8 Li 3.09
Al  0.5000  0.5000  0.0000  2 Al 2.77, 2 Zr 2.92, 8 Li 2.93

Values from the calculation:
- crystal system = orthorhombic
- energy of formation (eV per atom) = 0.06

***

VASP energy across the listed records, respectively: -5.28 -5.29 -3.17 -2.62 -3.27 -5.77 -4.09 -5.08 -5.19 -7.90 -6.45 -8.40 -8.22 -2.11 -3.15 -7.13 -3.55 -3.16 -3.65 -3.97 eV/atom.
Total magnetization across the listed records, respectively: 0.00 0.00 0.00 0.00 0.26 0.00 0.00 0.00 0.00 1.71 0.16 0.00 0.00 0.00 0.00 0.00 0.00 0.00 0.00 0.00 μB/atom.